No. 1
First-principles (PBE) data for an optimized crystal structure of SrCuBr4, as listed in Alexandria.

Properties
Distance to the lowest polymorph of the same formula: 0.0000 eV per atom
Formation energy (no corrections): -1.1312 eV per atom
DOS(E_F): 5.9 states/eV per cell

Unit cell a=7.217 b=7.217 c=7.805 alpha=90.00 beta=90.00 gamma=90.00
Space group I-4 (No. 82)
One atom of each set of equivalent atoms:
Sr 0.000 0.000 0.000 (multiplicity 2)
Cu 0.000 0.500 0.750 (multiplicity 2)
Br 0.238 0.740 0.749 (multiplicity 8)

***

No. 2
First-principles (PBE) data for an optimized crystal structure of TcTe2Pt, as listed in Alexandria.

Properties
Distance to the lowest polymorph of the same formula: 0.2988 eV per atom
Formation energy (no corrections): 0.1703 eV per atom
DOS(E_F): 6.7 states/eV per cell

Unit cell a=3.4594 b=3.4594 c=23.2976 alpha=90.00 beta=90.00 gamma=120.00
Space group R-3m (No. 166, hexagonal axes)
One atom of each set of equivalent atoms:
Tc 0.0000 0.0000 0.0000 (multiplicity 3)
Te 0.0000 0.0000 0.2511 (multiplicity 6)
Pt 0.0000 0.0000 0.5000 (multiplicity 3)

***

No. 3
First-principles (PBE) data for an optimized crystal structure of CdAsIO2, as listed in Alexandria.

Properties
Formation energy (no corrections): 0.3975 eV per atom
DOS(E_F): 2.2 states/eV per cell

Unit cell a=4.189 b=4.189 c=6.820 alpha=90.00 beta=90.00 gamma=90.00
Space group P4/mmm (No. 123)
One atom of each set of equivalent atoms:
Cd 0.000 0.000 0.000 (multiplicity 1)
As 0.500 0.500 0.500 (multiplicity 1)
I 0.000 0.000 0.500 (multiplicity 1)
O 0.000 0.500 0.000 (multiplicity 2)

***

No. 4
First-principles (PBE) data for an optimized crystal structure of ZrCoRu2, as listed in Alexandria.

Properties
Distance to the lowest polymorph of the same formula: 0.1888 eV per atom
Formation energy from the elements: 0.055 eV per atom
DOS(E_F): 5.8 states/eV per cell

Unit cell a=2.815 b=4.349 c=5.037 alpha=90.00 beta=98.38 gamma=90.00
Space group P2/m (No. 10)
One atom of each set of equivalent atoms:
Zr 0.000 0.000 0.000 (multiplicity 1)
Co 0.500 0.000 0.500 (multiplicity 1)
Ru 0.306 0.500 0.722 (multiplicity 2)

***

No. 5
First-principles (PBE) data for an optimized crystal structure of Tm5Ni2Au2, as listed in Alexandria.

Properties
Formation energy from the elements: -0.608 eV per atom
DOS(E_F): 23.6 states/eV per cell

Unit cell a=15.122 b=7.206 c=7.403 alpha=90.00 beta=90.00 gamma=90.00
Space group Cmce (No. 64)
One atom of each set of equivalent atoms:
Tm 0.000 0.000 0.000 (multiplicity 4)
Tm 0.130 0.173 0.325 (multiplicity 16)
Ni 0.000 0.118 0.619 (multiplicity 8)
Au 0.208 0.000 0.000 (multiplicity 8)

***

No. 6
First-principles (PBE) data for an optimized crystal structure of CdCCl2, as listed in Alexandria.

Properties
Distance to the lowest polymorph of the same formula: 0.3597 eV per atom
Formation energy (no corrections): 1.2882 eV per atom
DOS(E_F): 19.3 states/eV per cell

Unit cell a=6.724 b=6.724 c=6.724 alpha=90.00 beta=90.00 gamma=90.00
Space group Fm-3m (No. 225)
One atom of each set of equivalent atoms:
Cd 0.000 0.000 0.000 (multiplicity 4)
C 0.000 0.000 0.500 (multiplicity 4)
Cl 0.250 0.250 0.250 (multiplicity 8)

***

No. 7
First-principles (PBE) data for an optimized crystal structure of BiPd3O, as listed in Alexandria.

Properties
Distance to the lowest polymorph of the same formula: 0.0000 eV per atom
Formation energy (no corrections): -0.1000 eV per atom
DOS(E_F): 2.6 states/eV per cell

Unit cell a=4.381 b=4.381 c=4.381 alpha=90.00 beta=90.00 gamma=90.00
Space group Pm-3m (No. 221)
One atom of each set of equivalent atoms:
Bi 0.000 0.000 0.000 (multiplicity 1)
Pd 0.000 0.500 0.500 (multiplicity 3)
O 0.500 0.500 0.500 (multiplicity 1)

***

No. 8
First-principles (PBE) data for an optimized crystal structure of GaReSnRu2, as listed in Alexandria.

Properties
Formation energy from the elements: 1.294 eV per atom
DOS(E_F): 5.9 states/eV per cell

Unit cell a=4.730 b=4.730 c=5.133 alpha=90.00 beta=90.00 gamma=90.00
Space group P4/mmm (No. 123)
One atom of each set of equivalent atoms:
Ga 0.000 0.000 0.000 (multiplicity 1)
Re 0.500 0.500 0.500 (multiplicity 1)
Sn 0.500 0.500 0.000 (multiplicity 1)
Ru 0.000 0.500 0.500 (multiplicity 2)

***

No. 9
First-principles (PBE) data for an optimized crystal structure of GeHPt2N, as listed in Alexandria.

Properties
DOS(E_F): 3.9 states/eV per cell

Unit cell a=3.819 b=3.819 c=4.400 alpha=90.00 beta=90.00 gamma=90.00
Space group P4/mmm (No. 123)
One atom of each set of equivalent atoms:
Ge 0.000 0.000 0.000 (multiplicity 1)
H 0.000 0.000 0.500 (multiplicity 1)
Pt 0.000 0.500 0.500 (multiplicity 2)
N 0.500 0.500 0.000 (multiplicity 1)

***

No. 10
First-principles (PBE) data for an optimized crystal structure of TbTl2, as listed in Alexandria.

Properties
Formation energy from the elements: -0.206 eV per atom
DOS(E_F): 3.6 states/eV per cell

Unit cell a=5.4123 b=5.4123 c=6.5693 alpha=90.00 beta=90.00 gamma=120.00
Space group P6_3/mmc (No. 194)
One atom of each set of equivalent atoms:
Tb 0.3333 0.6667 0.2500 (multiplicity 2)
Tl 0.0000 0.0000 0.0000 (multiplicity 2)
Tl 0.3333 0.6667 0.7500 (multiplicity 2)

***

No. 11
First-principles (PBE) data for an optimized crystal structure of NpInAgCl6, as listed in Alexandria.

Properties
Formation energy (no corrections): -1.2132 eV per atom
DOS(E_F): 5.0 states/eV per cell

Unit cell a=6.9549 b=6.9549 c=6.9838 alpha=90.00 beta=90.00 gamma=120.00
Space group P312 (No. 149)
One atom of each set of equivalent atoms:
Np 0.0000 0.0000 0.0000 (multiplicity 1)
In 0.3333 0.6667 0.5000 (multiplicity 1)
Ag 0.6667 0.3333 0.0000 (multiplicity 1)
Cl 0.3153 0.0166 0.2196 (multiplicity 6)

***

No. 12
First-principles (PBE) data for an optimized crystal structure of Li3Ge4Au2, as listed in Alexandria.

Properties
Formation energy from the elements: -0.318 eV per atom
DOS(E_F): 4.3 states/eV per cell

Unit cell a=10.199 b=4.289 c=8.356 alpha=90.00 beta=116.54 gamma=90.00
Space group C2/m (No. 12)
One atom of each set of equivalent atoms:
Li 0.000 0.000 0.000 (multiplicity 2)
Li 0.181 0.500 0.627 (multiplicity 4)
Ge 0.017 0.000 0.356 (multiplicity 4)
Ge 0.244 0.000 0.906 (multiplicity 4)
Au 0.105 0.500 0.268 (multiplicity 4)

***

No. 13
First-principles (PBE) data for an optimized crystal structure of Pm2PaAu6, as listed in Alexandria.

Properties
Formation energy from the elements: -0.563 eV per atom
DOS(E_F): 18.6 states/eV per cell

Unit cell a=3.495 b=7.964 c=14.779 alpha=90.00 beta=90.00 gamma=90.00
Space group Immm (No. 71)
One atom of each set of equivalent atoms:
Pm 0.000 0.000 0.144 (multiplicity 4)
Pa 0.000 0.500 0.000 (multiplicity 2)
Au 0.000 0.177 0.326 (multiplicity 8)
Au 0.000 0.317 0.500 (multiplicity 4)

***

No. 14
First-principles (PBE) data for an optimized crystal structure of NaGeSO5, as listed in Alexandria.

Properties
Formation energy (no corrections): -1.4253 eV per atom

Unit cell a=7.083 b=9.019 c=7.053 alpha=90.00 beta=113.24 gamma=90.00
Space group C2/c (No. 15)
One atom of each set of equivalent atoms:
Na 0.000 0.177 0.250 (multiplicity 4)
Ge 0.000 0.500 0.000 (multiplicity 4)
S 0.000 0.167 0.750 (multiplicity 4)
O 0.000 0.438 0.250 (multiplicity 4)
O 0.097 0.261 0.638 (multiplicity 8)
O 0.157 0.069 0.903 (multiplicity 8)

***

No. 15
First-principles (PBE) data for an optimized crystal structure of ZrVZn, as listed in Alexandria.

Properties
Formation energy from the elements: 0.064 eV per atom
DOS(E_F): 8.8 states/eV per cell

Unit cell a=3.297 b=3.297 c=9.541 alpha=90.00 beta=90.00 gamma=90.00
Space group I4mm (No. 107)
One atom of each set of equivalent atoms:
Zr 0.000 0.000 0.000 (multiplicity 2)
V 0.000 0.000 0.325 (multiplicity 2)
Zn 0.000 0.000 0.687 (multiplicity 2)

***

No. 16
First-principles (PBE) data for an optimized crystal structure of SrTlAu2, as listed in Alexandria.

Properties
Formation energy from the elements: -0.232 eV per atom
DOS(E_F): 6.3 states/eV per cell

Unit cell a=5.193 b=5.193 c=18.735 alpha=90.00 beta=90.00 gamma=90.00
Space group I-42d (No. 122)
One atom of each set of equivalent atoms:
Sr 0.000 0.000 0.000 (multiplicity 4)
Tl 0.000 0.000 0.500 (multiplicity 4)
Au 0.153 0.250 0.625 (multiplicity 8)

***

No. 17
First-principles (PBE) data for an optimized crystal structure of ScFe3Pb, as listed in Alexandria.

Properties
Distance to the lowest polymorph of the same formula: 0.0790 eV per atom
Formation energy from the elements: 1.302 eV per atom
DOS(E_F): 6.3 states/eV per cell

Unit cell a=4.849 b=4.849 c=4.849 alpha=90.00 beta=90.00 gamma=90.00
Space group Pm-3m (No. 221)
One atom of each set of equivalent atoms:
Sc 0.000 0.000 0.000 (multiplicity 1)
Fe 0.000 0.500 0.500 (multiplicity 3)
Pb 0.500 0.500 0.500 (multiplicity 1)

***

No. 18
First-principles (PBE) data for an optimized crystal structure of Zn2CuN, as listed in Alexandria.

Properties
Formation energy (no corrections): 0.5204 eV per atom
DOS(E_F): 4.6 states/eV per cell

Unit cell a=3.0590 b=3.0590 c=21.4566 alpha=90.00 beta=90.00 gamma=120.00
Space group R-3m (No. 166, hexagonal axes)
One atom of each set of equivalent atoms:
Zn 0.0000 0.0000 0.1155 (multiplicity 6)
Cu 0.0000 0.0000 0.0000 (multiplicity 3)
N 0.0000 0.0000 0.5000 (multiplicity 3)

***

No. 19
First-principles (PBE) data for an optimized crystal structure of LaNiOs2, as listed in Alexandria.

Properties
Distance to the lowest polymorph of the same formula: 0.8972 eV per atom
Formation energy from the elements: 0.817 eV per atom
DOS(E_F): 16.9 states/eV per cell

Unit cell a=6.506 b=6.506 c=6.506 alpha=90.00 beta=90.00 gamma=90.00
Space group Fm-3m (No. 225)
One atom of each set of equivalent atoms:
La 0.000 0.000 0.000 (multiplicity 4)
Ni 0.000 0.000 0.500 (multiplicity 4)
Os 0.250 0.250 0.250 (multiplicity 8)

***

No. 20
First-principles (PBE) data for an optimized crystal structure of Ti2Be3Fe, as listed in Alexandria.

Properties
Formation energy from the elements: -0.249 eV per atom
DOS(E_F): 15.1 states/eV per cell

Unit cell a=4.5493 b=4.5493 c=11.2841 alpha=90.00 beta=90.00 gamma=120.00
Space group R-3m (No. 166, hexagonal axes)
One atom of each set of equivalent atoms:
Ti 0.0000 0.0000 0.1258 (multiplicity 6)
Be 0.0000 0.5000 0.0000 (multiplicity 9)
Fe 0.0000 0.0000 0.5000 (multiplicity 3)

***

| no. | total magnetization (Bohr magnetons per cell) | density (g cm⁻³) | uncorrected energy (eV per formula unit) |
| --- | --- | --- | --- |
| 1 | 0.5 | 3.85 | -19.26 |
| 2 | 0.0 | 11.31 | -22.01 |
| 3 | 2.1 | 4.80 | -15.04 |
| 4 | 2.1 | 9.59 | -33.99 |
| 5 | 0.0 | 11.16 | -45.95 |
| 6 | 7.4 | 4.27 | -8.68 |
| 7 | 0.0 | 10.75 | -24.92 |
| 8 | 0.0 | 8.34 | -31.56 |
| 9 | 0.5 | 12.37 | -23.15 |
| 10 | 0.0 | 11.31 | -9.98 |
| 11 | 3.0 | 3.82 | -40.53 |
| 12 | 0.0 | 7.16 | -33.63 |
| 13 | 2.3 | 13.75 | -43.73 |
| 14 | 0.0 | 3.33 | -46.26 |
| 15 | 2.1 | 6.65 | -18.75 |
| 16 | 0.0 | 9.02 | -11.53 |
| 17 | 7.1 | 6.11 | -28.92 |
| 18 | 0.0 | 5.97 | -12.89 |
| 19 | 8.9 | 13.94 | -29.90 |
| 20 | 2.2 | 4.40 | -36.92 |